No. 1
A plane-wave DFT calculation with meta-GGA SCAN was carried out for a crystal of Zn2GaP3H8N2O12 relaxed with PBEsol.

Unit cell a=11.5535 b=11.6121 c=11.6503 alpha=109.54 beta=109.44 gamma=109.12
With the nearest neighbours (Å) after each atom.
Sites, in units of the cell vectors:
H: 0.9905 0.3673 0.0080  1 N 1.04
H: 0.0667 0.3094 0.1133  1 N 1.06
H: 0.7949 0.1917 0.2596  1 N 1.05
H: 0.9659 0.6748 0.9050  1 N 1.04
H: 0.1897 0.0271 0.4228  1 N 1.06
H: 0.4975 0.4983 0.8329  1 N 1.03
H: 0.2653 0.0664 0.5938  1 N 1.04
H: 0.4783 0.5011 0.3625  1 N 1.04
H: 0.5653 0.5996 0.7705  1 N 1.04
H: 0.6218 0.1380 0.1490  1 N 1.04
H: 0.4608 0.3978 0.2062  1 N 1.05
H: 0.7067 0.2723 0.3129  1 N 1.05
H: 0.8667 0.9940 0.4975  1 N 1.04
H: 0.2884 0.7219 0.8183  1 N 1.04
H: 0.7011 0.9566 0.3946  1 N 1.05
H: 0.2280 0.8294 0.7877  1 N 1.06
H: 0.6004 0.5657 0.3132  1 N 1.06
H: 0.1022 0.7743 0.0727  1 N 1.06
H: 0.3299 0.7914 0.7213  1 N 1.05
H: 0.8992 0.2012 0.9693  1 N 1.04
H: 0.3971 0.4619 0.6634  1 N 1.06
H: 0.4315 0.5370 0.2317  1 N 1.05
H: 0.1563 0.8947 0.4638  1 N 1.06
H: 0.1613 0.6617 0.6526  1 N 1.03
H: 0.9943 0.8363 0.0076  1 N 1.03
H: 0.0418 0.2484 0.9450  1 N 1.05
H: 0.8068 0.1031 0.5590  1 N 1.05
H: 0.5375 0.4326 0.7036  1 N 1.06
H: 0.7425 0.9386 0.5416  1 N 1.05
H: 0.3208 0.9888 0.4882  1 N 1.03
H: 0.7560 0.2962 0.1955  1 N 1.06
H: 0.9313 0.6999 0.0396  1 N 1.06
N: 0.2492 0.7489 0.7429  4 H 1.03-1.06
N: 0.2349 0.9945 0.4924  4 H 1.03-1.06
N: 0.7201 0.2239 0.2282  4 H 1.04-1.06
N: 0.4991 0.4978 0.7448  4 H 1.03-1.06
N: 0.4936 0.5002 0.2789  4 H 1.04-1.06
N: 0.9983 0.7485 0.0066  4 H 1.03-1.06
N: 0.7788 0.9984 0.4982  4 H 1.04-1.05
N: 0.0001 0.2817 0.0086  4 H 1.04-1.06
Ga: 0.8020 0.5374 0.5804  4 O 1.82-1.85
Ga: 0.7201 0.9241 0.9576  4 O 1.81-1.85
Ga: 0.4594 0.2273 0.9246  4 O 1.82-1.85
Ga: 0.2659 0.5452 0.9676  4 O 1.82-1.84
O: 0.7190 0.0576 0.9045  1 P 1.59
O: 0.3823 0.7917 0.3856  1 P 1.53
O: 0.5149 0.0958 0.8873  1 P 1.55
O: 0.8466 0.2821 0.6703  1 P 1.54
O: 0.8901 0.9811 0.0999  1 P 1.57
O: 0.9149 0.6255 0.5245  1 P 1.57
O: 0.1127 0.0785 0.3163  1 P 1.55, 1 H 1.67
O: 0.1130 0.1751 0.8379  1 P 1.54
O: 0.1405 0.5288 0.4294  1 P 1.54
O: 0.9339 0.1611 0.3295  1 P 1.55
O: 0.8319 0.4326 0.1657  1 P 1.55
O: 0.1698 0.3381 0.2722  1 P 1.56, 1 H 1.68
O: 0.6751 0.8316 0.6129  1 P 1.54
O: 0.0781 0.4853 0.8765  1 P 1.56
O: 0.5921 0.0922 0.7032  1 P 1.52
O: 0.9120 0.5382 0.7379  1 P 1.58
O: 0.8879 0.9216 0.2940  1 P 1.52
O: 0.6737 0.7672 0.8026  1 P 1.58, 1 H 1.76
O: 0.5972 0.3368 0.6261  1 P 1.55, 1 H 1.67
O: 0.9015 0.8804 0.8090  1 P 1.53
O: 0.3701 0.6996 0.9621  1 P 1.58
O: 0.3197 0.5983 0.1528  1 P 1.60
O: 0.3048 0.1862 0.7690  1 P 1.58
O: 0.6726 0.3520 0.4475  1 P 1.60, 1 H 1.77
O: 0.5924 0.6929 0.0672  1 P 1.53
O: 0.4148 0.0320 0.1006  1 P 1.53
O: 0.7053 0.6276 0.6168  1 P 1.55
O: 0.1033 0.2059 0.6307  1 P 1.52
O: 0.1229 0.6020 0.1981  1 P 1.52
O: 0.2465 0.4050 0.5278  1 P 1.56, 1 H 1.64
O: 0.0283 0.7392 0.4160  1 P 1.55, 1 H 1.67
O: 0.5867 0.8880 0.0103  1 P 1.55
O: 0.3858 0.5672 0.4688  1 P 1.54
O: 0.8038 0.3892 0.9293  1 P 1.53
O: 0.5087 0.1168 0.4087  1 P 1.53
O: 0.2601 0.7937 0.1655  1 P 1.55, 1 H 1.67
O: 0.8282 0.6143 0.0887  1 P 1.55, 1 H 1.67
O: 0.6056 0.3948 0.9823  1 P 1.57
O: 0.9640 0.8755 0.5764  1 P 1.53
O: 0.2969 0.4031 0.8838  1 P 1.57
O: 0.7687 0.6669 0.3409  1 P 1.55
O: 0.4272 0.2973 0.3967  1 P 1.52
O: 0.2134 0.0868 0.0930  1 P 1.52
O: 0.5617 0.8871 0.2165  1 P 1.54
O: 0.0276 0.4300 0.6260  1 P 1.52
O: 0.4082 0.2279 0.0588  1 P 1.60
O: 0.4687 0.8720 0.7059  1 P 1.54, 1 H 1.67
O: 0.2217 0.9745 0.8738  1 P 1.55, 1 H 1.69
P: 0.1984 0.2417 0.7781  4 O 1.52-1.58
P: 0.5730 0.0313 0.7966  4 O 1.52-1.59
P: 0.2699 0.6976 0.2303  4 O 1.52-1.60
P: 0.5340 0.7935 0.0702  4 O 1.53-1.58
P: 0.9179 0.7290 0.4649  4 O 1.53-1.57
P: 0.2346 0.4614 0.4226  4 O 1.54-1.56
P: 0.7691 0.4560 0.0409  4 O 1.53-1.57
P: 0.9546 0.0349 0.2619  4 O 1.52-1.57
P: 0.5447 0.2705 0.4661  4 O 1.52-1.60
P: 0.7435 0.7810 0.7085  4 O 1.53-1.58
P: 0.3123 0.0774 0.0348  4 O 1.52-1.60
P: 0.9660 0.4282 0.7229  4 O 1.52-1.58
Zn: 0.7042 0.2725 0.7292  4 O 1.92-1.97
Zn: 0.0488 0.9749 0.7771  4 O 1.92-1.97
Zn: 0.0313 0.5728 0.3053  4 O 1.91-1.97
Zn: 0.4313 0.9602 0.2287  4 O 1.91-1.98
Zn: 0.0758 0.3014 0.5246  4 O 1.93-1.95
Zn: 0.4707 0.7649 0.5375  4 O 1.91-1.98
Zn: 0.7690 0.7216 0.1991  4 O 1.92-1.96
Zn: 0.2277 0.1967 0.2680  4 O 1.92-1.96

## Properties
- raw total energy (eV per atom) = -8.6389
- crystal system = triclinic
- space-group type = No. 1

***

No. 2
A plane-wave DFT calculation with meta-GGA SCAN was carried out for a crystal of GaHPb2N relaxed with PBEsol.

Unit cell a=3.3159 b=5.3004 c=5.3004 alpha=90.00 beta=90.00 gamma=90.00
With the nearest neighbours (Å) after each atom.
Sites, in units of the cell vectors:
Pb: 0.0000 0.5000 0.0000  2 Ga 2.65
Pb: 0.0000 0.0000 0.5000  2 Ga 2.65
H: 0.5000 0.0000 0.0000  2 Ga 1.66
Ga: 0.0000 0.0000 0.0000  2 H 1.66
N: 0.5000 0.5000 0.5000  8 Pb 3.13, 2 N 3.32

## Properties
- raw total energy (eV per atom) = -35.1557
- crystal system = tetragonal
- space-group type = No. 123

***

No. 3
A plane-wave DFT calculation with meta-GGA SCAN was carried out for a crystal of GaHSe2N relaxed with PBEsol.

Unit cell a=3.5345 b=5.1808 c=5.1808 alpha=90.00 beta=90.00 gamma=90.00
With the nearest neighbours (Å) after each atom.
Sites, in units of the cell vectors:
N: 0.5000 0.0000 0.0000  2 Ga 1.77
Se: 0.0000 0.0000 0.5000  2 Ga 2.59
Se: 0.0000 0.5000 0.0000  2 Ga 2.59
Ga: 0.0000 0.0000 0.0000  2 N 1.77
H: 0.5000 0.5000 0.5000  8 Se 3.14

## Properties
- raw total energy (eV per atom) = -12.5783
- crystal system = tetragonal
- space-group type = No. 123

***

No. 4
A plane-wave DFT calculation with meta-GGA SCAN was carried out for a crystal of Na5Ga7H12S13O6 relaxed with PBEsol.

Unit cell a=12.2867 b=12.2867 c=12.2867 alpha=60.00 beta=60.00 gamma=60.00
With the nearest neighbours (Å) after each atom.
Sites, in units of the cell vectors:
S: 0.9651 0.1707 0.5533  2 Ga 2.24-2.28, 1 H 2.25
S: 0.3109 0.9651 0.5533  2 Ga 2.24-2.28, 1 H 2.25
S: 0.2500 0.2500 0.2500  4 Ga 2.39
S: 0.9651 0.3109 0.1707  2 Ga 2.24-2.28, 1 H 2.25
S: 0.6707 0.8109 0.4651  2 Ga 2.24-2.28, 1 H 2.25
S: 0.5533 0.1707 0.3109  2 Ga 2.24-2.28, 1 H 2.25
S: 0.6707 0.4651 0.0533  2 Ga 2.24-2.28, 1 H 2.25
S: 0.1707 0.5533 0.9651  2 Ga 2.24-2.28, 1 H 2.25
S: 0.8109 0.0533 0.4651  2 Ga 2.24-2.28, 1 H 2.25
S: 0.8109 0.4651 0.6707  2 Ga 2.24-2.28, 1 H 2.25
S: 0.1707 0.3109 0.5533  2 Ga 2.24-2.28, 1 H 2.25
S: 0.0533 0.4651 0.8109  2 Ga 2.24-2.28, 1 H 2.25
S: 0.8109 0.6707 0.0533  2 Ga 2.24-2.28, 1 H 2.25
S: 0.0533 0.6707 0.4651  2 Ga 2.24-2.28, 1 H 2.25
S: 0.4651 0.0533 0.6707  2 Ga 2.24-2.28, 1 H 2.25
S: 0.3109 0.1707 0.9651  2 Ga 2.24-2.28, 1 H 2.25
S: 0.9651 0.5533 0.3109  2 Ga 2.24-2.28, 1 H 2.25
S: 0.4651 0.8109 0.0533  2 Ga 2.24-2.28, 1 H 2.25
S: 0.6707 0.0533 0.8109  2 Ga 2.24-2.28, 1 H 2.25
S: 0.7500 0.7500 0.7500  4 Ga 2.39
S: 0.5533 0.3109 0.9651  2 Ga 2.24-2.28, 1 H 2.25
S: 0.5533 0.9651 0.1707  2 Ga 2.24-2.28, 1 H 2.25
S: 0.3109 0.5533 0.1707  2 Ga 2.24-2.28, 1 H 2.25
S: 0.1707 0.9651 0.3109  2 Ga 2.24-2.28, 1 H 2.25
S: 0.4651 0.6707 0.8109  2 Ga 2.24-2.28, 1 H 2.25
S: 0.0533 0.8109 0.6707  2 Ga 2.24-2.28, 1 H 2.25
H: 0.6843 0.3934 0.6547  1 O 1.00
H: 0.8934 0.7675 0.1843  1 O 1.00
H: 0.1547 0.8934 0.1843  1 O 1.00
H: 0.1843 0.8934 0.7675  1 O 1.00
H: 0.7675 0.8934 0.1547  1 O 1.00
H: 0.6843 0.6547 0.2675  1 O 1.00
H: 0.1547 0.1843 0.7675  1 O 1.00
H: 0.8934 0.1843 0.1547  1 O 1.00
H: 0.7675 0.1843 0.8934  1 O 1.00
H: 0.6547 0.3934 0.2675  1 O 1.00
H: 0.6843 0.2675 0.3934  1 O 1.00
H: 0.2675 0.6547 0.3934  1 O 1.00
H: 0.1843 0.7675 0.1547  1 O 1.00
H: 0.8934 0.1547 0.7675  1 O 1.00
H: 0.1843 0.1547 0.8934  1 O 1.00
H: 0.3934 0.6547 0.6843  1 O 1.00
H: 0.6547 0.6843 0.3934  1 O 1.00
H: 0.3934 0.2675 0.6547  1 O 1.00
H: 0.6547 0.2675 0.6843  1 O 1.00
H: 0.1547 0.7675 0.8934  1 O 1.00
H: 0.7675 0.1547 0.1843  1 O 1.00
H: 0.2675 0.3934 0.6843  1 O 1.00
H: 0.2675 0.6843 0.6547  1 O 1.00
H: 0.3934 0.6843 0.2675  1 O 1.00
Ga: 0.1707 0.4879 0.1707  4 S 2.24-2.39
Ga: 0.9879 0.6707 0.6707  4 S 2.24-2.39
Ga: 0.6707 0.6707 0.9879  4 S 2.24-2.39
Ga: 0.1707 0.1707 0.4879  4 S 2.24-2.39
Ga: 0.0000 0.0000 0.5000  4 S 2.28
Ga: 0.6707 0.9879 0.6707  4 S 2.24-2.39
Ga: 0.0000 0.5000 0.5000  4 S 2.28
Ga: 0.6707 0.6707 0.6707  4 S 2.24-2.39
Ga: 0.0000 0.5000 0.0000  4 S 2.28
Ga: 0.5000 0.0000 0.5000  4 S 2.28
Ga: 0.1707 0.1707 0.1707  4 S 2.24-2.39
Ga: 0.5000 0.0000 0.0000  4 S 2.28
Ga: 0.4879 0.1707 0.1707  4 S 2.24-2.39
Ga: 0.5000 0.5000 0.0000  4 S 2.28
O: 0.6347 0.6347 0.3653  2 H 1.00
O: 0.6347 0.3653 0.6347  2 H 1.00
O: 0.6347 0.3653 0.3653  2 H 1.00
O: 0.1347 0.8653 0.8653  2 H 1.00
O: 0.1347 0.8653 0.1347  2 H 1.00
O: 0.8653 0.8653 0.1347  2 H 1.00
O: 0.8653 0.1347 0.8653  2 H 1.00
O: 0.3653 0.3653 0.6347  2 H 1.00
O: 0.8653 0.1347 0.1347  2 H 1.00
O: 0.1347 0.1347 0.8653  2 H 1.00
O: 0.3653 0.6347 0.3653  2 H 1.00
O: 0.3653 0.6347 0.6347  2 H 1.00
Na: 0.8968 0.3095 0.8968  3 O 2.59, 3 H 2.73, 3 S 2.85
Na: 0.5000 0.5000 0.5000  6 O 2.34
Na: 0.3968 0.3968 0.3968  3 O 2.59, 3 H 2.73, 3 S 2.85
Na: 0.3095 0.8968 0.8968  3 O 2.59, 3 H 2.73, 3 S 2.85
Na: 0.3968 0.3968 0.8095  3 O 2.59, 3 H 2.73, 3 S 2.85
Na: 0.8095 0.3968 0.3968  3 O 2.59, 3 H 2.73, 3 S 2.85
Na: 0.8968 0.8968 0.8968  3 O 2.59, 3 H 2.73, 3 S 2.85
Na: 0.0000 0.0000 0.0000  6 O 2.34
Na: 0.3968 0.8095 0.3968  3 O 2.59, 3 H 2.73, 3 S 2.85
Na: 0.8968 0.8968 0.3095  3 O 2.59, 3 H 2.73, 3 S 2.85

## Properties
- raw total energy (eV per atom) = -8.9762
- crystal system = cubic
- space-group type = No. 219

***

No. 5
A plane-wave DFT calculation with meta-GGA SCAN was carried out for a crystal of Na2TlGaH relaxed with PBEsol.

Unit cell a=3.7763 b=5.8807 c=5.8807 alpha=90.00 beta=90.00 gamma=90.00
With the nearest neighbours (Å) after each atom.
Sites, in units of the cell vectors:
H: 0.5000 0.0000 0.0000  2 Tl 1.89
Tl: 0.0000 0.0000 0.0000  2 H 1.89
Ga: 0.5000 0.5000 0.5000  8 Na 3.49, 2 Ga 3.78
Na: 0.0000 0.5000 0.0000  2 Tl 2.94
Na: 0.0000 0.0000 0.5000  2 Tl 2.94

## Properties
- raw total energy (eV per atom) = -19.7583
- crystal system = tetragonal
- space-group type = No. 123

***

No. 6
A plane-wave DFT calculation with meta-GGA SCAN was carried out for a crystal of Nb2GaH relaxed with PBEsol.

Unit cell a=5.2597 b=5.9735 c=5.2597 alpha=63.88 beta=90.00 gamma=116.12
With the nearest neighbours (Å) after each atom.
Sites, in units of the cell vectors:
Nb: 0.3750 0.7500 0.3750  2 H 1.76
Nb: 0.3750 0.7500 0.8750  2 H 1.76
Nb: 0.3750 0.2500 0.3750  2 H 1.76
Nb: 0.8750 0.2500 0.3750  2 H 1.76
Ga: 0.7500 0.5000 0.7500  8 Nb 3.16, 4 H 3.52, 4 Ga 3.52
Ga: 0.0000 0.0000 0.0000  8 Nb 3.16, 4 H 3.52, 4 Ga 3.52
H: 0.2500 0.5000 0.2500  4 Nb 1.76
H: 0.5000 0.0000 0.5000  4 Nb 1.76

## Properties
- raw total energy (eV per atom) = -21.1002
- crystal system = tetragonal
- space-group type = No. 141